[1]
The following is a DFT calculation (PBE) of LaCd2Sb after structural relaxation.

Values from the calculation:
ΔE_f (raw) in kJ per mole of atoms: -36.8
D(E_F) in states/eV/cell: 1.50

Unit cell a=4.119 b=4.119 c=6.817 alpha=90.00 beta=90.00 gamma=90.00
Fractional coordinates of all 4 atoms:
Sb 0.500 0.500 0.742
La 0.000 0.000 0.532
Cd 0.000 0.000 0.029
Cd 0.500 0.500 0.197


[2]
The following is a DFT calculation (PBE) of PaAl11Os after structural relaxation.

Values from the calculation:
D(E_F) in states/eV/cell: 7.98
Energy of formation in meV per atom: -198

Unit cell a=5.223 b=7.086 c=6.831 alpha=82.02 beta=67.53 gamma=68.70
Fractional coordinates of all 13 atoms:
Pa 0.000 0.000 0.000
Al 0.287 0.219 0.212
Al 0.713 0.781 0.788
Al 0.501 0.781 0.212
Al 0.499 0.219 0.788
Al 0.363 0.643 0.654
Al 0.637 0.357 0.346
Al 0.984 0.357 0.654
Al 0.016 0.643 0.346
Al 0.000 0.500 0.000
Al 0.500 0.000 0.500
Al 0.000 0.000 0.500
Os 0.500 0.500 0.000